Entry 1:
Computed, not measured: ReSi3 after structural relaxation at the PBE level of DFT.

Cell and atoms, written as POSCAR:
```
ReSi3
1.0
-9.3443 -0.9350 4.8064
-8.6738 3.7944 4.6541
7.9098 -1.3421 -6.8502
Re Si
2 6
direct
0.3381 0.3381 0.0000
0.6619 0.6619 0.0000
0.8972 0.8972 0.0000
0.7500 0.2500 0.5000
0.0000 0.5000 0.5000
0.1028 0.1028 0.0000
0.2500 0.7500 0.5000
0.5000 0.0000 0.5000
```

Summary:
Formation energy (no corrections) (eV/atom): 0.19
Space group: I4/mmm, No. 139

Entry 2:
Computed, not measured: Re3Si2 after structural relaxation at the PBE level of DFT.

Cell and atoms, written as POSCAR:
```
Re3Si2
1.0
-1.2449 -7.7912 -0.7065
-5.0883 -3.2507 -1.2041
2.3476 -3.9068 -3.8550
Si Re
4 6
direct
0.0652 0.3468 0.8421
0.9032 0.1848 0.5040
0.7460 0.8421 0.3468
0.4079 0.5040 0.1848
0.9000 0.1000 0.1000
0.1500 0.3500 0.3500
0.4069 0.8015 0.4097
0.8403 0.8680 0.8431
0.3820 0.4097 0.8015
0.4485 0.8431 0.8680
```

Summary:
Offset from the most stable computed form (meV per atom): 0
Formation energy (no corrections) (eV/atom): -0.03
Space group: Fdd2, No. 43

Entry 3:
Computed, not measured: Re3Si after structural relaxation at the PBE level of DFT.

Cell and atoms, written as POSCAR:
```
Re3Si
1.0
2.8731 0.0000 0.0000
-1.4366 2.4882 0.0000
0.0000 0.0000 8.0754
Re Si
3 1
direct
0.0000 0.0000 0.9834
0.6667 0.3333 0.2500
0.0000 0.0000 0.5166
0.6667 0.3333 0.7500
```

Summary:
Offset from the most stable computed form (meV per atom): 1
Formation energy (no corrections) (eV/atom): -0.10
Space group: P-6m2, No. 187

Entry 4:
Computed, not measured: ReSi2 after structural relaxation at the PBE level of DFT.

Cell and atoms, written as POSCAR:
```
ReSi2
1.0
4.5251 -0.0035 0.0000
2.2756 3.9112 0.0000
-3.4004 -1.9539 2.2575
Si Re
2 1
direct
0.6683 0.6683 0.0000
0.3317 0.3317 0.0000
0.0000 0.0000 0.0000
```

Summary:
Formation energy (no corrections) (eV/atom): -0.19
Space group: I4/mmm, No. 139

Entry 5:
Computed, not measured: Re7Si after structural relaxation at the PBE level of DFT.

Cell and atoms, written as POSCAR:
```
Re7Si
1.0
-3.5934 -3.5910 2.1312
-2.3308 1.0081 4.8888
-5.3468 1.2954 0.2877
Re Si
7 1
direct
0.5000 0.5000 0.5000
0.0000 0.0000 0.5000
0.5000 0.0000 0.0000
0.0000 0.5000 0.5000
0.5000 0.0000 0.5000
0.0000 0.5000 0.0000
0.5000 0.5000 0.0000
0.0000 0.0000 0.0000
```

Summary:
Formation energy (no corrections) (eV/atom): 0.21
Space group: Fm-3m, No. 225

Entry 6:
Computed, not measured: Re2Si after structural relaxation at the PBE level of DFT.

Cell and atoms, written as POSCAR:
```
Re2Si
1.0
-4.7280 1.9740 2.6508
-0.0799 -4.6936 3.3527
3.3040 2.7112 3.8742
Si Re
4 8
direct
0.0000 0.5000 0.5000
0.5000 0.0000 0.5000
0.5000 0.5000 0.0000
0.0000 0.0000 0.0000
0.6240 0.6240 0.3760
0.3760 0.1240 0.1240
0.3760 0.3760 0.6240
0.8760 0.3760 0.8760
0.1240 0.8760 0.6240
0.1240 0.6240 0.1240
0.8760 0.1240 0.3760
0.6240 0.8760 0.8760
```

Summary:
Offset from the most stable computed form (meV per atom): 1015
Formation energy (no corrections) (eV/atom): 0.76
Space group: Pa-3, No. 205

no.,Fermi-level density of states (states/eV/atom)
1,0.48
2,0.71
3,0.59
4,0.44
5,1.26
6,1.07